DFT (PBE) results for a geometry-optimized MnReTcSe structure. Values from VASP.

Summary:
As for the energy: -8.707 eV per atom. The crystal system is tetragonal. Its space-group type is No. 99. The formation energy (no corrections) comes out at 0.16 eV per atom. For the excess energy over the best structure of this formula in the dataset, the calculation gives 14 meV/atom.

The structure in Quantum ESPRESSO input format:
```
&SYSTEM
  ibrav = 0, nat = 4, ntyp = 4
/
ATOMIC_SPECIES
Mn 54.94 Mn.upf
Re 186.21 Re.upf
Tc 98.00 Tc.upf
Se 78.96 Se.upf
CELL_PARAMETERS angstrom
2.904 0.000 0.000
0.000 2.904 0.000
0.000 0.000 6.709
ATOMIC_POSITIONS crystal
Mn 0.000 0.000 0.000
Re 0.500 0.500 0.736
Tc 0.000 0.000 0.481
Se 0.500 0.500 0.216
```

DFT (PBE) results for a geometry-optimized MnReTcSe structure. Values from VASP.

Summary:
As for the energy: -8.539 eV per atom. The crystal system is monoclinic. Its space-group type is No. 8. The formation energy (no corrections) comes out at 0.33 eV per atom. For the excess energy over the best structure of this formula in the dataset, the calculation gives 183 meV/atom.

The structure in Quantum ESPRESSO input format:
```
&SYSTEM
  ibrav = 0, nat = 4, ntyp = 4
/
ATOMIC_SPECIES
Mn 54.94 Mn.upf
Re 186.21 Re.upf
Tc 98.00 Tc.upf
Se 78.96 Se.upf
CELL_PARAMETERS angstrom
4.428 -1.480 0.000
4.428 1.480 0.000
-1.661 0.000 4.569
ATOMIC_POSITIONS crystal
Mn 0.000 0.000 0.000
Re 0.746 0.746 0.152
Tc 0.200 0.200 0.664
Se 0.457 0.457 0.533
```

DFT (PBE) results for a geometry-optimized MnTl2ReSe structure. Values from VASP.

Summary:
As for the energy: -4.720 eV per atom. The crystal system is tetragonal. Its space-group type is No. 123. The formation energy (no corrections) comes out at 1.25 eV per atom.

The structure in Quantum ESPRESSO input format:
```
&SYSTEM
  ibrav = 0, nat = 5, ntyp = 4
/
ATOMIC_SPECIES
Mn 54.94 Mn.upf
Tl 204.38 Tl.upf
Re 186.21 Re.upf
Se 78.96 Se.upf
CELL_PARAMETERS angstrom
5.347 0.000 0.000
0.000 5.347 0.000
0.000 0.000 4.629
ATOMIC_POSITIONS crystal
Mn 0.000 0.000 0.000
Tl 0.000 0.500 0.000
Tl 0.500 0.000 0.000
Re 0.500 0.500 0.500
Se 0.000 0.000 0.500
```

DFT (PBE) results for a geometry-optimized MnRe2Si structure. Values from VASP.

Summary:
As for the energy: -9.688 eV per atom. The crystal system is orthorhombic. Its space-group type is No. 65. The formation energy (no corrections) comes out at 0.18 eV per atom.

The structure in Quantum ESPRESSO input format:
```
&SYSTEM
  ibrav = 0, nat = 4, ntyp = 3
/
ATOMIC_SPECIES
Mn 54.94 Mn.upf
Re 186.21 Re.upf
Si 28.09 Si.upf
CELL_PARAMETERS angstrom
1.523 -2.266 0.000
1.523 2.266 0.000
0.000 0.000 8.121
ATOMIC_POSITIONS crystal
Mn 0.000 0.000 0.000
Re 0.500 0.500 0.256
Re 0.500 0.500 0.744
Si 0.000 0.000 0.500
```

DFT (PBE) results for a geometry-optimized MnRe2Si structure. Values from VASP.

Summary:
As for the energy: -9.865 eV per atom. The crystal system is trigonal. Its space-group type is No. 160. The formation energy (no corrections) comes out at 0.01 eV per atom.

The structure in Quantum ESPRESSO input format:
```
&SYSTEM
  ibrav = 0, nat = 4, ntyp = 3
/
ATOMIC_SPECIES
Mn 54.94 Mn.upf
Re 186.21 Re.upf
Si 28.09 Si.upf
CELL_PARAMETERS angstrom
1.378 0.796 8.353
-1.378 0.796 8.353
0.000 -1.591 8.353
ATOMIC_POSITIONS crystal
Mn 0.000 0.000 0.000
Re 0.507 0.507 0.507
Re 0.753 0.753 0.753
Si 0.258 0.258 0.258
```

DFT (PBE) results for a geometry-optimized MnRe2Si structure. Values from VASP.

Summary:
As for the energy: -9.831 eV per atom. The crystal system is orthorhombic. Its space-group type is No. 47. The formation energy (no corrections) comes out at 0.04 eV per atom.

The structure in Quantum ESPRESSO input format:
```
&SYSTEM
  ibrav = 0, nat = 4, ntyp = 3
/
ATOMIC_SPECIES
Mn 54.94 Mn.upf
Re 186.21 Re.upf
Si 28.09 Si.upf
CELL_PARAMETERS angstrom
2.981 0.000 0.000
0.000 4.050 0.000
0.000 0.000 4.429
ATOMIC_POSITIONS crystal
Mn 0.000 0.000 0.000
Re 0.000 0.500 0.500
Re 0.500 0.500 0.000
Si 0.500 0.000 0.500
```

DFT (PBE) results for a geometry-optimized MnReSi2 structure. Values from VASP.

Summary:
As for the energy: -7.936 eV per atom. The crystal system is cubic. Its space-group type is No. 216. The formation energy (no corrections) comes out at 0.18 eV per atom. For the excess energy over the best structure of this formula in the dataset, the calculation gives 461 meV/atom.

The structure in Quantum ESPRESSO input format:
```
&SYSTEM
  ibrav = 0, nat = 4, ntyp = 3
/
ATOMIC_SPECIES
Mn 54.94 Mn.upf
Re 186.21 Re.upf
Si 28.09 Si.upf
CELL_PARAMETERS angstrom
0.000 2.973 2.973
2.973 0.000 2.973
2.973 2.973 0.000
ATOMIC_POSITIONS crystal
Mn 0.000 0.000 0.000
Re 0.250 0.250 0.250
Si 0.500 0.500 0.500
Si 0.750 0.750 0.750
```

DFT (PBE) results for a geometry-optimized MnRe2Si6 structure. Values from VASP.

Summary:
As for the energy: -7.515 eV per atom. The crystal system is orthorhombic. Its space-group type is No. 71. The formation energy (no corrections) comes out at -0.12 eV per atom.

The structure in Quantum ESPRESSO input format:
```
&SYSTEM
  ibrav = 0, nat = 9, ntyp = 3
/
ATOMIC_SPECIES
Mn 54.94 Mn.upf
Re 186.21 Re.upf
Si 28.09 Si.upf
CELL_PARAMETERS angstrom
-1.636 3.464 5.636
1.636 -3.464 5.636
1.636 3.464 -5.636
ATOMIC_POSITIONS crystal
Mn 0.000 0.000 0.000
Re 0.352 0.352 0.000
Re 0.648 0.648 0.000
Si 0.045 0.833 0.212
Si 0.236 0.500 0.736
Si 0.379 0.167 0.212
Si 0.621 0.833 0.788
Si 0.764 0.500 0.264
Si 0.955 0.167 0.788
```

DFT (PBE) results for a geometry-optimized MnReSi2 structure. Values from VASP.

Summary:
As for the energy: -8.038 eV per atom. The crystal system is tetragonal. Its space-group type is No. 99. The formation energy (no corrections) comes out at 0.08 eV per atom. For the excess energy over the best structure of this formula in the dataset, the calculation gives 359 meV/atom.

The structure in Quantum ESPRESSO input format:
```
&SYSTEM
  ibrav = 0, nat = 4, ntyp = 3
/
ATOMIC_SPECIES
Mn 54.94 Mn.upf
Re 186.21 Re.upf
Si 28.09 Si.upf
CELL_PARAMETERS angstrom
2.707 0.000 0.000
0.000 2.707 0.000
0.000 0.000 7.393
ATOMIC_POSITIONS crystal
Mn 0.000 0.000 0.000
Re 0.500 0.500 0.222
Si 0.000 0.000 0.478
Si 0.500 0.500 0.792
```

DFT (PBE) results for a geometry-optimized MnReSi2 structure. Values from VASP.

Summary:
As for the energy: -8.213 eV per atom. The crystal system is monoclinic. Its space-group type is No. 12. The formation energy (no corrections) comes out at -0.10 eV per atom. For the excess energy over the best structure of this formula in the dataset, the calculation gives 184 meV/atom.

The structure in Quantum ESPRESSO input format:
```
&SYSTEM
  ibrav = 0, nat = 4, ntyp = 3
/
ATOMIC_SPECIES
Mn 54.94 Mn.upf
Re 186.21 Re.upf
Si 28.09 Si.upf
CELL_PARAMETERS angstrom
4.010 -1.354 0.000
4.010 1.354 0.000
-0.941 0.000 4.731
ATOMIC_POSITIONS crystal
Mn 0.000 0.000 0.000
Re 0.500 0.500 0.500
Si 0.255 0.255 0.773
Si 0.745 0.745 0.227
```

DFT (PBE) results for a geometry-optimized MnReSi2 structure. Values from VASP.

Summary:
As for the energy: -8.187 eV per atom. The crystal system is tetragonal. Its space-group type is No. 119. The formation energy (no corrections) comes out at -0.07 eV per atom. For the excess energy over the best structure of this formula in the dataset, the calculation gives 210 meV/atom.

The structure in Quantum ESPRESSO input format:
```
&SYSTEM
  ibrav = 0, nat = 4, ntyp = 3
/
ATOMIC_SPECIES
Mn 54.94 Mn.upf
Re 186.21 Re.upf
Si 28.09 Si.upf
CELL_PARAMETERS angstrom
-1.807 1.807 3.957
1.807 -1.807 3.957
1.807 1.807 -3.957
ATOMIC_POSITIONS crystal
Mn 0.000 0.000 0.000
Re 0.250 0.750 0.500
Si 0.500 0.500 0.000
Si 0.750 0.250 0.500
```

DFT (PBE) results for a geometry-optimized MnRe2Si structure. Values from VASP.

Summary:
As for the energy: -9.976 eV per atom. The crystal system is tetragonal. Its space-group type is No. 123. The formation energy (no corrections) comes out at -0.10 eV per atom.

The structure in Quantum ESPRESSO input format:
```
&SYSTEM
  ibrav = 0, nat = 4, ntyp = 3
/
ATOMIC_SPECIES
Mn 54.94 Mn.upf
Re 186.21 Re.upf
Si 28.09 Si.upf
CELL_PARAMETERS angstrom
4.280 0.000 0.000
0.000 4.280 0.000
0.000 0.000 2.933
ATOMIC_POSITIONS crystal
Mn 0.000 0.000 0.000
Re 0.000 0.500 0.500
Re 0.500 0.000 0.500
Si 0.500 0.500 0.000
```

DFT (PBE) results for a geometry-optimized MnRe2Si structure. Values from VASP.

Summary:
As for the energy: -9.896 eV per atom. The crystal system is orthorhombic. Its space-group type is No. 25. The formation energy (no corrections) comes out at -0.02 eV per atom.

The structure in Quantum ESPRESSO input format:
```
&SYSTEM
  ibrav = 0, nat = 4, ntyp = 3
/
ATOMIC_SPECIES
Mn 54.94 Mn.upf
Re 186.21 Re.upf
Si 28.09 Si.upf
CELL_PARAMETERS angstrom
2.777 0.000 0.000
0.000 3.889 0.000
0.000 0.000 5.006
ATOMIC_POSITIONS crystal
Mn 0.000 0.000 0.000
Re 0.000 0.000 0.531
Re 0.500 0.500 0.283
Si 0.500 0.500 0.793
```

DFT (PBE) results for a geometry-optimized MnRe2Si2 structure. Values from VASP.

Summary:
As for the energy: -8.176 eV per atom. The crystal system is tetragonal. Its space-group type is No. 139. The formation energy (no corrections) comes out at 0.81 eV per atom.

The structure in Quantum ESPRESSO input format:
```
&SYSTEM
  ibrav = 0, nat = 5, ntyp = 3
/
ATOMIC_SPECIES
Mn 54.94 Mn.upf
Re 186.21 Re.upf
Si 28.09 Si.upf
CELL_PARAMETERS angstrom
-2.114 2.114 4.608
2.114 -2.114 4.608
2.114 2.114 -4.608
ATOMIC_POSITIONS crystal
Mn 0.000 0.000 0.000
Re 0.375 0.375 0.000
Re 0.625 0.625 0.000
Si 0.250 0.750 0.500
Si 0.750 0.250 0.500
```